[1]
First-principles (PBE) data for Pm2CuRu2 after structural relaxation, as listed in Alexandria via LeMat-Bulk.

a = 9.1087 Å, b = 5.5790 Å, c = 8.4021 Å
α = 90.00°, β = 103.81°, γ = 90.00°
Space group C2/c (No. 15)
Asymmetric unit:
Pm: 0.1512 0.1385 0.1529 (multiplicity 8)
Cu: 0.0000 0.3646 0.7500 (multiplicity 4)
Ru: 0.1327 0.3690 0.5058 (multiplicity 8)

Results
- raw total energy (eV per atom) = -6.56
- spin magnetization (Bohr magnetons per cell) = 0.000

---

[2]
First-principles (PBE) data for Pm2Cu3Ru after structural relaxation, as listed in Alexandria via LeMat-Bulk.

a = 10.1892 Å, b = 4.2643 Å, c = 7.1403 Å
α = 90.00°, β = 132.01°, γ = 90.00°
Space group Cm (No. 8)
Asymmetric unit:
Pm: 0.0000 0.0000 0.0000 (multiplicity 2)
Pm: 0.0880 0.0000 0.5886 (multiplicity 2)
Cu: 0.2045 0.5000 0.3934 (multiplicity 2)
Cu: 0.3722 0.0000 0.5636 (multiplicity 2)
Cu: 0.3765 0.0000 0.1799 (multiplicity 2)
Ru: 0.1876 0.5000 0.9760 (multiplicity 2)

Results
- raw total energy (eV per atom) = -5.34
- spin magnetization (Bohr magnetons per cell) = 0.000